First-principles (GGA-PBE) data for crystalline Er2TiAl at its relaxed geometry, as listed in Alexandria.

Calculated values
**Symmetry**: P4/mmm, No. 123
**ΔE_f**: -0.081 eV per atom
**Energy**: -5.272 eV per atom
**Energy relative to the lowest polymorph listed for this composition**: 4.0 meV/atom

Unit cell a=3.372 b=3.372 c=8.204 alpha=90.00 beta=90.00 gamma=90.00
Positions (direct):
Er 0.000 0.000 0.244
Er 0.000 0.000 0.756
Ti 0.500 0.500 0.500
Al 0.500 0.500 0.000